No. 1
# TePRu2 (GGA-PBE, relaxed)
# Magnetic moment, μB per cell: 0.00
# Energy, Ha/atom: -0.222
# Formation energy from raw total energies, eV per formula unit: 2.94
# Excess energy over the best structure of this formula in the dataset, meV/atom: 932
data_TePRu2
_space_group_name_H-M_alt 'F -4 3 m'
_space_group_IT_number 216
_space_group_name_Hall 'F -4 2 3'
_cell_length_a 6.3958
_cell_length_b 6.3958
_cell_length_c 6.3958
_cell_angle_alpha 90.00
_cell_angle_beta 90.00
_cell_angle_gamma 90.00
loop_
_atom_site_label
_atom_site_type_symbol
_atom_site_fract_x
_atom_site_fract_y
_atom_site_fract_z
Te1 Te 0.0000 0.0000 0.0000
P1 P 0.2500 0.2500 0.2500
Ru1 Ru 0.0000 0.0000 0.5000
Ru2 Ru 0.2500 0.2500 0.7500

=====

No. 2
# TeP2Ru (GGA-PBE, relaxed)
# Magnetic moment, μB per cell: 0.00
# Energy, Ha/atom: -0.202
# Formation energy from raw total energies, eV per formula unit: 1.27
data_TeP2Ru
_space_group_name_H-M_alt 'I 4/m m m'
_space_group_IT_number 139
_space_group_name_Hall '-I 4 2'
_cell_length_a 5.2074
_cell_length_b 5.2074
_cell_length_c 5.2166
_cell_angle_alpha 90.00
_cell_angle_beta 90.00
_cell_angle_gamma 90.00
loop_
_atom_site_label
_atom_site_type_symbol
_atom_site_fract_x
_atom_site_fract_y
_atom_site_fract_z
Te1 Te 0.0000 0.0000 0.0000
P1 P 0.0000 0.5000 0.0000
Ru1 Ru 0.0000 0.0000 0.5000